BaZnSi: relaxed, PBE.

Cell: 6.385 6.371 3.643 Å, 73.61 73.21 33.19°
Fractional coordinates of all 3 atoms:
Ba 0.998 0.998 0.002
Si 0.288 0.288 0.712
Zn 0.714 0.714 0.286

- Uncorrected formation energy: 0.0486 eV/atom
- Calculated total energy: -2.82 eV/atom
- Density of states at the Fermi level: 2.54 states/eV per cell